# Ba4Bi2I3

Crystalline Ba4Bi2I3 at its relaxed geometry (PBE, Alexandria via LeMat-Bulk).

Properties
total magnetization: 0.05 μB per atom
energy relative to the elements, uncorrected: -1.29 eV/atom
density of states at the Fermi level: 7.79 states/eV/cell
space-group type: C2/m (12)
energy: -3.519 eV per atom

Unit cell a=5.060 b=5.060 c=20.802 alpha=90.04 beta=89.96 gamma=119.98
Fractional coordinates of all 9 atoms:
Ba 0.999 0.001 0.316
Ba 0.001 0.999 0.684
Ba 0.666 0.334 0.115
Ba 0.334 0.666 0.885
I 0.334 0.666 0.596
I 0.000 0.000 0.000
I 0.666 0.334 0.404
Bi 0.667 0.333 0.792
Bi 0.333 0.667 0.208